## P
Density functional theory data (GGA-PBE) for a geometry-optimized GaPd2Pt2 structure.

a = 6.4670 Å, b = 6.4670 Å, c = 3.9495 Å
α = 90.00°, β = 90.00°, γ = 90.00°
Atoms (fractional coordinates):
Ga  0.0000  0.0000  0.0000
Ga  0.5000  0.5000  0.0000
Pd  0.1469  0.3531  0.0000
Pd  0.3531  0.8531  0.0000
Pd  0.6469  0.1469  0.0000
Pd  0.8531  0.6469  0.0000
Pt  0.1525  0.6525  0.5000
Pt  0.3475  0.1525  0.5000
Pt  0.6525  0.8475  0.5000
Pt  0.8475  0.3475  0.5000

## Properties
The value obtained for the calculated volume is 16.52 A^3/atom. The magnetization is 0.000 μB/cell.

---

## Q
Density functional theory data (GGA-PBE) for a geometry-optimized GaPd2Pt2 structure.

a = 4.3416 Å, b = 4.3416 Å, c = 9.8576 Å
α = 90.00°, β = 90.00°, γ = 120.00°
Atoms (fractional coordinates):
Ga  0.0000  0.0000  0.2500
Ga  0.0000  0.0000  0.7500
Pd  0.3333  0.6667  0.1018
Pd  0.3333  0.6667  0.3982
Pd  0.6667  0.3333  0.6018
Pd  0.6667  0.3333  0.8982
Pt  0.0000  0.0000  0.0000
Pt  0.0000  0.0000  0.5000
Pt  0.3333  0.6667  0.7500
Pt  0.6667  0.3333  0.2500

## Properties
The value obtained for the calculated volume is 16.09 A^3/atom. The magnetization is 0.000 μB/cell.

---

Quick ranking, most stable first: Q, P.

---

## P
Density functional theory data (GGA-PBE) for a geometry-optimized GaPd4Pt2 structure.

a = 5.5726 Å, b = 6.2631 Å, c = 7.2518 Å
α = 106.05°, β = 110.37°, γ = 102.39°
Atoms (fractional coordinates):
Ga  0.0000  0.0000  0.0000
Ga  0.4829  0.4668  0.1535
Pd  0.1684  0.1660  0.7426
Pd  0.3910  0.8694  0.2912
Pd  0.5229  0.0273  0.0116
Pd  0.5900  0.5860  0.8636
Pd  0.6602  0.1592  0.7156
Pd  0.7422  0.7328  0.5783
Pd  0.8959  0.8834  0.2943
Pd  0.9589  0.4420  0.1422
Pt  0.0953  0.5980  0.8652
Pt  0.2427  0.7330  0.5785
Pt  0.3149  0.3004  0.4078
Pt  0.8250  0.3088  0.4381

## Properties
The value obtained for the calculated volume is 15.29 A^3/atom. The magnetization is 0.000 μB/cell.

---

## Q
Density functional theory data (GGA-PBE) for a geometry-optimized GaPd4Pt2 structure.

a = 4.7831 Å, b = 4.7831 Å, c = 9.0850 Å
α = 107.59°, β = 107.59°, γ = 33.73°
Atoms (fractional coordinates):
Ga  0.0000  0.0000  0.0000
Pd  0.2588  0.2588  0.8722
Pd  0.4812  0.4812  0.7273
Pd  0.5188  0.5188  0.2727
Pd  0.7412  0.7412  0.1278
Pt  0.1550  0.1550  0.5598
Pt  0.8450  0.8450  0.4402

## Properties
The value obtained for the calculated volume is 15.64 A^3/atom. The magnetization is 0.000 μB/cell.

---

Quick ranking, most stable first: P, Q.

---

## P
Density functional theory data (GGA-PBE) for a geometry-optimized Ga2PdPt3 structure.

a = 6.9667 Å, b = 6.9667 Å, c = 6.9667 Å
α = 117.88°, β = 81.55°, γ = 132.79°
Atoms (fractional coordinates):
Ga  0.1394  0.2186  0.3581
Ga  0.3606  0.7186  0.0792
Ga  0.6394  0.2814  0.9208
Ga  0.8606  0.7814  0.6419
Pd  0.0000  0.5000  0.5000
Pd  0.5000  0.0000  0.5000
Pt  0.0233  0.7500  0.2733
Pt  0.2500  0.2500  0.0000
Pt  0.4767  0.7500  0.7267
Pt  0.5233  0.2500  0.2733
Pt  0.7500  0.7500  0.0000
Pt  0.9767  0.2500  0.7267

## Properties
The value obtained for the calculated volume is 17.63 A^3/atom. The magnetization is 0.000 μB/cell.

---

## Q
Density functional theory data (GGA-PBE) for a geometry-optimized Ga2PdPt3 structure.

a = 7.5344 Å, b = 7.5344 Å, c = 7.5344 Å
α = 137.77°, β = 61.27°, γ = 137.74°
Atoms (fractional coordinates):
Ga  0.1351  0.2478  0.3829
Ga  0.3649  0.7478  0.1127
Ga  0.6351  0.2522  0.8873
Ga  0.8649  0.7522  0.6171
Pd  0.2500  0.7500  0.5000
Pd  0.7500  0.2500  0.5000
Pt  0.1761  0.7429  0.9189
Pt  0.2500  0.2500  0.0000
Pt  0.3239  0.2429  0.5668
Pt  0.6761  0.7571  0.4332
Pt  0.7500  0.7500  0.0000
Pt  0.8239  0.2571  0.0811

## Properties
The value obtained for the calculated volume is 15.93 A^3/atom. The magnetization is 0.000 μB/cell.

---

Quick ranking, most stable first: Q, P.

---

## P
Density functional theory data (GGA-PBE) for a geometry-optimized Ga2Pd6Pt structure.

a = 4.3872 Å, b = 4.3872 Å, c = 8.3398 Å
α = 101.68°, β = 101.68°, γ = 64.87°
Atoms (fractional coordinates):
Ga  0.1946  0.1946  0.4040
Ga  0.8054  0.8054  0.5960
Pd  0.1463  0.1463  0.7640
Pd  0.1773  0.1773  0.1034
Pd  0.4646  0.4646  0.6555
Pd  0.5354  0.5354  0.3445
Pd  0.8227  0.8227  0.8966
Pd  0.8537  0.8537  0.2360
Pt  0.5000  0.5000  0.0000

## Properties
The value obtained for the calculated volume is 15.68 A^3/atom. The magnetization is 0.000 μB/cell.

---

## Q
Density functional theory data (GGA-PBE) for a geometry-optimized Ga2Pd6Pt structure.

a = 8.2254 Å, b = 6.5813 Å, c = 5.7236 Å
α = 83.59°, β = 52.67°, γ = 43.75°
Atoms (fractional coordinates):
Ga  0.1522  0.1522  0.8478
Ga  0.8478  0.8478  0.1522
Pd  0.1684  0.8316  0.1684
Pd  0.1723  0.4806  0.5194
Pd  0.4806  0.1723  0.8277
Pd  0.5194  0.8277  0.1723
Pd  0.8277  0.5194  0.4806
Pd  0.8316  0.1684  0.8316
Pt  0.5000  0.5000  0.5000

## Properties
The value obtained for the calculated volume is 15.23 A^3/atom. The magnetization is 0.000 μB/cell.

---

Quick ranking, most stable first: Q, P.

---

## P
Density functional theory data (GGA-PBE) for a geometry-optimized GaPd6Pt3 structure.

a = 8.7070 Å, b = 3.9725 Å, c = 8.8550 Å
α = 90.00°, β = 92.08°, γ = 90.00°
Atoms (fractional coordinates):
Ga  0.0641  0.2500  0.3805
Ga  0.9359  0.7500  0.6195
Pd  0.0461  0.7500  0.8942
Pd  0.1273  0.2500  0.6786
Pd  0.1566  0.7500  0.1902
Pd  0.2309  0.7500  0.4935
Pd  0.3498  0.2500  0.2992
Pd  0.4511  0.7500  0.0981
Pd  0.5489  0.2500  0.9019
Pd  0.6502  0.7500  0.7008
Pd  0.7691  0.2500  0.5065
Pd  0.8434  0.2500  0.8098
Pd  0.8727  0.7500  0.3214
Pd  0.9539  0.2500  0.1058
Pt  0.2495  0.2500  0.9877
Pt  0.3442  0.7500  0.7928
Pt  0.4471  0.2500  0.5993
Pt  0.5529  0.7500  0.4007
Pt  0.6558  0.2500  0.2072
Pt  0.7505  0.7500  0.0123

## Properties
The value obtained for the calculated volume is 15.30 A^3/atom. The magnetization is 0.000 μB/cell.

---

## Q
Density functional theory data (GGA-PBE) for a geometry-optimized GaPd6Pt3 structure.

a = 7.3546 Å, b = 5.9177 Å, c = 10.4381 Å
α = 90.00°, β = 134.17°, γ = 90.00°
Atoms (fractional coordinates):
Ga  0.0000  0.0000  0.0000
Ga  0.0000  0.5000  0.5000
Pd  0.1007  0.1355  0.4333
Pd  0.1007  0.3645  0.9333
Pd  0.2805  0.6082  0.4505
Pd  0.2805  0.8918  0.9505
Pd  0.4105  0.6925  0.2465
Pd  0.4105  0.8075  0.7465
Pd  0.5895  0.1925  0.2535
Pd  0.5895  0.3075  0.7535
Pd  0.7195  0.1082  0.0495
Pd  0.7195  0.3918  0.5495
Pd  0.8993  0.6355  0.0667
Pd  0.8993  0.8645  0.5667
Pt  0.2079  0.2163  0.7393
Pt  0.2079  0.2837  0.2393
Pt  0.5000  0.0000  0.5000
Pt  0.5000  0.5000  0.0000
Pt  0.7921  0.7163  0.7607
Pt  0.7921  0.7837  0.2607

## Properties
The value obtained for the calculated volume is 16.29 A^3/atom. The magnetization is 0.000 μB/cell.

---

Quick ranking, most stable first: P, Q.

---

## P
Density functional theory data (GGA-PBE) for a geometry-optimized Ga4Pd2Pt structure.

a = 6.8679 Å, b = 6.8679 Å, c = 6.0577 Å
α = 115.66°, β = 115.66°, γ = 27.77°
Atoms (fractional coordinates):
Ga  0.0952  0.0952  0.4734
Ga  0.3691  0.3691  0.0731
Ga  0.6309  0.6309  0.9269
Ga  0.9048  0.9048  0.5266
Pd  0.2437  0.2437  0.2894
Pd  0.7563  0.7563  0.7106
Pt  0.0000  0.0000  0.0000

## Properties
The value obtained for the calculated volume is 17.02 A^3/atom. The magnetization is 0.000 μB/cell.

---

## Q
Density functional theory data (GGA-PBE) for a geometry-optimized Ga4Pd2Pt structure.

a = 7.1390 Å, b = 7.1390 Å, c = 7.1390 Å
α = 140.84°, β = 140.84°, γ = 56.59°
Atoms (fractional coordinates):
Ga  0.0000  0.5000  0.5000
Ga  0.1994  0.1994  0.0000
Ga  0.5000  0.0000  0.5000
Ga  0.8006  0.8006  0.0000
Pd  0.3930  0.3930  0.0000
Pd  0.6070  0.6070  0.0000
Pt  0.0000  0.0000  0.0000

## Properties
The value obtained for the calculated volume is 20.56 A^3/atom. The magnetization is 0.000 μB/cell.

---

Quick ranking, most stable first: P, Q.

---

## P
Density functional theory data (GGA-PBE) for a geometry-optimized GaPd8Pt2 structure.

a = 7.3634 Å, b = 7.3634 Å, c = 6.1947 Å
α = 104.54°, β = 104.54°, γ = 31.19°
Atoms (fractional coordinates):
Ga  0.0000  0.0000  0.0000
Pd  0.0897  0.0897  0.4455
Pd  0.1803  0.1803  0.9084
Pd  0.3655  0.3655  0.8237
Pd  0.4556  0.4556  0.2696
Pd  0.5444  0.5444  0.7304
Pd  0.6345  0.6345  0.1763
Pd  0.8197  0.8197  0.0916
Pd  0.9103  0.9103  0.5545
Pt  0.2750  0.2750  0.3674
Pt  0.7250  0.7250  0.6326

## Properties
The value obtained for the calculated volume is 15.27 A^3/atom. The magnetization is 0.000 μB/cell.

---

## Q
Density functional theory data (GGA-PBE) for a geometry-optimized GaPd8Pt2 structure.

a = 6.8150 Å, b = 6.8150 Å, c = 4.8650 Å
α = 103.91°, β = 103.91°, γ = 58.14°
Atoms (fractional coordinates):
Ga  0.0000  0.0000  0.0000
Pd  0.2285  0.2285  0.0741
Pd  0.2355  0.6335  0.2100
Pd  0.3518  0.3518  0.6592
Pd  0.3665  0.7645  0.7900
Pd  0.6335  0.2355  0.2100
Pd  0.6482  0.6482  0.3408
Pd  0.7645  0.3665  0.7900
Pd  0.7715  0.7715  0.9259
Pt  0.1205  0.1205  0.4954
Pt  0.8795  0.8795  0.5046

## Properties
The value obtained for the calculated volume is 16.77 A^3/atom. The magnetization is 0.000 μB/cell.

---

Quick ranking, most stable first: P, Q.

---

## P
Density functional theory data (GGA-PBE) for a geometry-optimized Ga2Pd3Pt3 structure.

a = 3.9187 Å, b = 3.9305 Å, c = 7.8998 Å
α = 90.00°, β = 90.00°, γ = 90.00°
Atoms (fractional coordinates):
Ga  0.0000  0.0000  0.2485
Ga  0.0000  0.0000  0.7515
Pd  0.0000  0.5000  0.0000
Pd  0.0000  0.5000  0.5000
Pd  0.5000  0.0000  0.0000
Pt  0.5000  0.0000  0.5000
Pt  0.5000  0.5000  0.2500
Pt  0.5000  0.5000  0.7500

## Properties
The value obtained for the calculated volume is 15.21 A^3/atom. The magnetization is 0.000 μB/cell.

---

## Q
Density functional theory data (GGA-PBE) for a geometry-optimized Ga2Pd3Pt3 structure.

a = 5.0004 Å, b = 5.0004 Å, c = 13.4258 Å
α = 90.00°, β = 90.00°, γ = 131.15°
Atoms (fractional coordinates):
Ga  0.2329  0.7671  0.6295
Ga  0.2329  0.7671  0.8705
Ga  0.7671  0.2329  0.1295
Ga  0.7671  0.2329  0.3705
Pd  0.0546  0.9454  0.1010
Pd  0.0546  0.9454  0.3990
Pd  0.2662  0.7338  0.2500
Pd  0.7338  0.2662  0.7500
Pd  0.9454  0.0546  0.6010
Pd  0.9454  0.0546  0.8990
Pt  0.3613  0.6387  0.0409
Pt  0.3613  0.6387  0.4591
Pt  0.4442  0.5558  0.7500
Pt  0.5558  0.4442  0.2500
Pt  0.6387  0.3613  0.5409
Pt  0.6387  0.3613  0.9591

## Properties
The value obtained for the calculated volume is 15.80 A^3/atom. The magnetization is 0.000 μB/cell.

---

Quick ranking, most stable first: P, Q.

---

## P
Density functional theory data (GGA-PBE) for a geometry-optimized Ga2Pd7Pt2 structure.

a = 7.2604 Å, b = 7.2604 Å, c = 7.2604 Å
α = 147.56°, β = 67.83°, γ = 122.23°
Atoms (fractional coordinates):
Ga  0.1890  0.0000  0.1890
Ga  0.8110  0.0000  0.8110
Pd  0.0631  0.7218  0.3413
Pd  0.3466  0.5000  0.8466
Pd  0.3805  0.7218  0.6587
Pd  0.6172  0.2768  0.3404
Pd  0.6533  0.5000  0.1534
Pd  0.8045  0.8045  0.0000
Pd  0.9364  0.2768  0.6596
Pt  0.2009  0.2009  0.0000
Pt  0.4998  0.9998  0.5000

## Properties
The value obtained for the calculated volume is 15.58 A^3/atom. The magnetization is 0.000 μB/cell.

---

## Q
Density functional theory data (GGA-PBE) for a geometry-optimized Ga2Pd7Pt2 structure.

a = 5.0752 Å, b = 5.9614 Å, c = 6.3493 Å
α = 102.70°, β = 102.42°, γ = 105.34°
Atoms (fractional coordinates):
Ga  0.1876  0.3372  0.2561
Ga  0.8124  0.6628  0.7439
Pd  0.2528  0.0217  0.9577
Pd  0.2862  0.6428  0.6286
Pd  0.3048  0.1291  0.5653
Pd  0.5000  0.5000  0.0000
Pd  0.6952  0.8709  0.4347
Pd  0.7138  0.3572  0.3714
Pd  0.7472  0.9783  0.0423
Pt  0.0900  0.7115  0.2022
Pt  0.9100  0.2885  0.7978

## Properties
The value obtained for the calculated volume is 15.72 A^3/atom. The magnetization is 0.000 μB/cell.

---

Quick ranking, most stable first: P, Q.

---

## P
Density functional theory data (GGA-PBE) for a geometry-optimized Pu2Ga3Pd5 structure.

a = 12.5835 Å, b = 12.5835 Å, c = 6.7909 Å
α = 90.00°, β = 90.00°, γ = 160.20°
Atoms (fractional coordinates):
Pu  0.0180  0.9820  0.5000
Pu  0.3240  0.6760  0.5154
Pu  0.6760  0.3240  0.0154
Pu  0.9820  0.0180  0.0000
Ga  0.1053  0.8947  0.1903
Ga  0.2813  0.7187  0.0738
Ga  0.4402  0.5598  0.3040
Ga  0.5598  0.4402  0.8040
Ga  0.7187  0.2813  0.5738
Ga  0.8947  0.1053  0.6903
Pd  0.1141  0.8859  0.7715
Pd  0.1986  0.8014  0.3534
Pd  0.2267  0.7733  0.7648
Pd  0.3804  0.6196  0.9832
Pd  0.4555  0.5445  0.6891
Pd  0.5445  0.4555  0.1891
Pd  0.6196  0.3804  0.4832
Pd  0.7733  0.2267  0.2648
Pd  0.8014  0.1986  0.8534
Pd  0.8859  0.1141  0.2715

## Properties
The value obtained for the calculated volume is 18.22 A^3/atom. The magnetization is 21.552 μB/cell.

---

## Q
Density functional theory data (GGA-PBE) for a geometry-optimized Pu2Ga3Pd5 structure.

a = 8.5635 Å, b = 8.5635 Å, c = 8.5635 Å
α = 97.68°, β = 95.51°, γ = 140.40°
Atoms (fractional coordinates):
Pu  0.2314  0.1336  0.3651
Pu  0.2686  0.6336  0.9022
Pu  0.7314  0.3664  0.0978
Pu  0.7686  0.8664  0.6349
Ga  0.1196  0.8648  0.9844
Ga  0.2500  0.7500  0.5000
Ga  0.3804  0.3648  0.7453
Ga  0.6196  0.6352  0.2547
Ga  0.7500  0.2500  0.5000
Ga  0.8804  0.1352  0.0156
Pd  0.1667  0.4010  0.5677
Pd  0.2500  0.2500  0.0000
Pd  0.2500  0.5203  0.2703
Pd  0.2500  0.9797  0.7297
Pd  0.3333  0.9010  0.2344
Pd  0.6667  0.0990  0.7656
Pd  0.7500  0.0203  0.2703
Pd  0.7500  0.4797  0.7297
Pd  0.7500  0.7500  0.0000
Pd  0.8333  0.5990  0.4323

## Properties
The value obtained for the calculated volume is 18.83 A^3/atom. The magnetization is 22.276 μB/cell.

---

Quick ranking, most stable first: Q, P.